# Ho6Bi2PbSe3 (PBE, optimized geometry)
# Raw formation energy in kcal/mol of atoms: -27.7
# Size of the total moment in μB per formula unit: 0.00
# D(E_F) in states/eV/cell: 4.468
# VASP energy in eV/atom: -5.32
# Crystal system: monoclinic
data_Ho6Bi2PbSe3
_symmetry_space_group_name_H-M 'P 1'
_symmetry_Int_Tables_number 1
_symmetry_space_group_name_Hall 'P 1'
_cell_length_a 9.5204
_cell_length_b 9.5204
_cell_length_c 8.5187
_cell_angle_alpha 102.60
_cell_angle_beta 102.60
_cell_angle_gamma 25.91
loop_
_atom_site_label
_atom_site_type_symbol
_atom_site_fract_x
_atom_site_fract_y
_atom_site_fract_z
Ho1 Ho 0.0043 0.0043 0.2463
Ho2 Ho 0.3320 0.3320 0.4289
Ho3 Ho 0.3377 0.3377 0.9052
Ho4 Ho 0.6623 0.6623 0.0948
Ho5 Ho 0.6680 0.6680 0.5711
Ho6 Ho 0.9957 0.9957 0.7537
Bi1 Bi 0.1669 0.1669 0.8345
Bi2 Bi 0.8331 0.8331 0.1655
Pb1 Pb 0.5000 0.5000 0.5000
Se1 Se 0.1681 0.1681 0.3336
Se2 Se 0.5000 0.5000 0.0000
Se3 Se 0.8319 0.8319 0.6664

---

# K2In9Au3 (PBE, optimized geometry)
# Size of the total moment in μB per formula unit: 0.00
# D(E_F) in states/eV/cell: 9.369
# VASP energy in eV/atom: -2.79
# Crystal system: monoclinic
data_K2In9Au3
_symmetry_space_group_name_H-M 'P 1'
_symmetry_Int_Tables_number 1
_symmetry_space_group_name_Hall 'P 1'
_cell_length_a 8.7168
_cell_length_b 8.7168
_cell_length_c 12.0362
_cell_angle_alpha 111.33
_cell_angle_beta 111.33
_cell_angle_gamma 59.88
loop_
_atom_site_label
_atom_site_type_symbol
_atom_site_fract_x
_atom_site_fract_y
_atom_site_fract_z
K1 K 0.0846 0.2513 0.2502
K2 K 0.2513 0.0846 0.7502
K3 K 0.7487 0.9154 0.2498
K4 K 0.9154 0.7487 0.7498
In1 In 0.0203 0.8621 0.0751
In2 In 0.1379 0.9797 0.4249
In3 In 0.1877 0.3584 0.5751
In4 In 0.2112 0.5802 0.2527
In5 In 0.3071 0.4806 0.9395
In6 In 0.3584 0.1877 0.0751
In7 In 0.3715 0.6285 0.7500
In8 In 0.4198 0.7888 0.2473
In9 In 0.4806 0.3071 0.4395
In10 In 0.5194 0.6929 0.5605
In11 In 0.5802 0.2112 0.7527
In12 In 0.6285 0.3715 0.2500
In13 In 0.6416 0.8123 0.9249
In14 In 0.6929 0.5194 0.0605
In15 In 0.7888 0.4198 0.7473
In16 In 0.8123 0.6416 0.4249
In17 In 0.8621 0.0203 0.5751
In18 In 0.9797 0.1379 0.9249
Au1 Au 0.0000 0.5000 0.0000
Au2 Au 0.1613 0.6696 0.5000
Au3 Au 0.3304 0.8387 0.0000
Au4 Au 0.5000 0.0000 0.5000
Au5 Au 0.6696 0.1613 0.0000
Au6 Au 0.8387 0.3304 0.5000